# Pr2Ni6P3, relaxed, DFT PBE
# SG	P-62m
# N(E_F)	5.29	states/eV/f.u.
# V	15.083	Å³/atom
# ΔE_f	-0.76	eV/atom
data_Pr2Ni6P3
_chemical_formula_sum 'Pr2 Ni6 P3'
_cell_length_a 6.9659
_cell_length_b 6.9659
_cell_length_c 3.9482
_cell_angle_alpha 90.00
_cell_angle_beta 90.00
_cell_angle_gamma 120.00
_space_group_name_H-M_alt 'P 1'
_space_group_IT_number 1
_space_group_name_Hall 'P 1'
loop_
_atom_site_label
_atom_site_fract_x
_atom_site_fract_y
_atom_site_fract_z
Pr1 0.3333 0.6667 0.0000
Pr2 0.6667 0.3333 0.0000
Ni1 0.0000 0.2990 0.5000
Ni2 0.0000 0.8030 0.0000
Ni3 0.1970 0.1970 0.0000
Ni4 0.2990 0.0000 0.5000
Ni5 0.7010 0.7010 0.5000
Ni6 0.8030 0.0000 0.0000
P1 0.0000 0.6461 0.5000
P2 0.3539 0.3539 0.5000
P3 0.6461 0.0000 0.5000

---

# PrNiP, relaxed, DFT PBE
# SG	P6_3/mmc
# N(E_F)	1.83	states/eV/f.u.
# V	18.746	Å³/atom
# ΔE_f	-1.14	eV/atom
data_PrNiP
_chemical_formula_sum 'Pr2 Ni2 P2'
_cell_length_a 3.9786
_cell_length_b 3.9786
_cell_length_c 8.2049
_cell_angle_alpha 90.00
_cell_angle_beta 90.00
_cell_angle_gamma 120.00
_space_group_name_H-M_alt 'P 1'
_space_group_IT_number 1
_space_group_name_Hall 'P 1'
loop_
_atom_site_label
_atom_site_fract_x
_atom_site_fract_y
_atom_site_fract_z
Pr1 0.0000 0.0000 0.0000
Pr2 0.0000 0.0000 0.5000
Ni1 0.3333 0.6667 0.2500
Ni2 0.6667 0.3333 0.7500
P1 0.3333 0.6667 0.7500
P2 0.6667 0.3333 0.2500

---

# PrNi6P4, relaxed, DFT PBE
# SG	P-6m2
# N(E_F)	5.28	states/eV/f.u.
# V	12.794	Å³/atom
# ΔE_f	-0.64	eV/atom
data_PrNi6P4
_chemical_formula_sum 'Pr1 Ni6 P4'
_cell_length_a 6.6303
_cell_length_b 6.6303
_cell_length_c 3.6966
_cell_angle_alpha 90.00
_cell_angle_beta 90.00
_cell_angle_gamma 120.00
_space_group_name_H-M_alt 'P 1'
_space_group_IT_number 1
_space_group_name_Hall 'P 1'
loop_
_atom_site_label
_atom_site_fract_x
_atom_site_fract_y
_atom_site_fract_z
Pr1 0.0000 0.0000 0.0000
Ni1 0.2050 0.4101 0.5000
Ni2 0.2050 0.7950 0.5000
Ni3 0.5366 0.0732 0.0000
Ni4 0.5366 0.4634 0.0000
Ni5 0.5899 0.7950 0.5000
Ni6 0.9268 0.4634 0.0000
P1 0.3333 0.6667 0.0000
P2 0.3869 0.1934 0.5000
P3 0.8066 0.1934 0.5000
P4 0.8066 0.6131 0.5000

---

# PrNiP2, relaxed, DFT PBE
# SG	I-4m2
# N(E_F)	2.16	states/eV/f.u.
# V	18.092	Å³/atom
# ΔE_f	-0.98	eV/atom
data_PrNiP2
_chemical_formula_sum 'Pr2 Ni2 P4'
_cell_length_a 3.9707
_cell_length_b 3.9707
_cell_length_c 9.1801
_cell_angle_alpha 90.00
_cell_angle_beta 90.00
_cell_angle_gamma 90.00
_space_group_name_H-M_alt 'P 1'
_space_group_IT_number 1
_space_group_name_Hall 'P 1'
loop_
_atom_site_label
_atom_site_fract_x
_atom_site_fract_y
_atom_site_fract_z
Pr1 0.0000 0.0000 0.0000
Pr2 0.5000 0.5000 0.5000
Ni1 0.0000 0.5000 0.7500
Ni2 0.5000 0.0000 0.2500
P1 0.0000 0.0000 0.3720
P2 0.0000 0.0000 0.6280
P3 0.5000 0.5000 0.1280
P4 0.5000 0.5000 0.8720

---

# PrNi2P, relaxed, DFT PBE
# SG	Pmmm
# N(E_F)	2.72	states/eV/f.u.
# V	18.569	Å³/atom
# ΔE_f	-0.61	eV/atom
data_PrNi2P
_chemical_formula_sum 'Pr1 Ni2 P1'
_cell_length_a 3.7834
_cell_length_b 4.1185
_cell_length_c 4.7668
_cell_angle_alpha 90.00
_cell_angle_beta 90.00
_cell_angle_gamma 90.00
_space_group_name_H-M_alt 'P 1'
_space_group_IT_number 1
_space_group_name_Hall 'P 1'
loop_
_atom_site_label
_atom_site_fract_x
_atom_site_fract_y
_atom_site_fract_z
Pr1 0.0000 0.0000 0.0000
Ni1 0.5000 0.5000 0.2510
Ni2 0.5000 0.5000 0.7490
P1 0.0000 0.5000 0.5000

---

# PrNi3P3, relaxed, DFT PBE
# SG	R-3
# N(E_F)	4.18	states/eV/f.u.
# V	17.488	Å³/atom
# relative energy among the computed polymorphs	0	meV/atom
# ΔE_f	-0.70	eV/atom
data_PrNi3P3
_chemical_formula_sum 'Pr2 Ni6 P6'
_cell_length_a 7.6892
_cell_length_b 7.6892
_cell_length_c 7.6892
_cell_angle_alpha 49.91
_cell_angle_beta 49.91
_cell_angle_gamma 49.91
_space_group_name_H-M_alt 'P 1'
_space_group_IT_number 1
_space_group_name_Hall 'P 1'
loop_
_atom_site_label
_atom_site_fract_x
_atom_site_fract_y
_atom_site_fract_z
Pr1 0.1671 0.1671 0.1671
Pr2 0.8329 0.8329 0.8329
Ni1 0.0364 0.7087 0.3744
Ni2 0.2913 0.6256 0.9636
Ni3 0.3744 0.0364 0.7087
Ni4 0.6256 0.9636 0.2913
Ni5 0.7087 0.3744 0.0364
Ni6 0.9636 0.2913 0.6256
P1 0.0792 0.4018 0.7292
P2 0.2708 0.9208 0.5982
P3 0.4018 0.7292 0.0792
P4 0.5982 0.2708 0.9208
P5 0.7292 0.0792 0.4018
P6 0.9208 0.5982 0.2708

---

# PrNi3P, relaxed, DFT PBE
# SG	R3m
# N(E_F)	5.89	states/eV/f.u.
# V	20.925	Å³/atom
# relative energy among the computed polymorphs	436	meV/atom
# ΔE_f	-0.02	eV/atom
data_PrNi3P
_chemical_formula_sum 'Pr3 Ni9 P3'
_cell_length_a 4.8140
_cell_length_b 4.8140
_cell_length_c 15.6395
_cell_angle_alpha 90.00
_cell_angle_beta 90.00
_cell_angle_gamma 120.00
_space_group_name_H-M_alt 'P 1'
_space_group_IT_number 1
_space_group_name_Hall 'P 1'
loop_
_atom_site_label
_atom_site_fract_x
_atom_site_fract_y
_atom_site_fract_z
Pr1 0.0000 0.0000 0.0000
Pr2 0.3333 0.6667 0.6667
Pr3 0.6667 0.3333 0.3333
Ni1 0.0137 0.5068 0.4919
Ni2 0.1598 0.3196 0.8252
Ni3 0.1598 0.8402 0.8252
Ni4 0.3470 0.1735 0.1586
Ni5 0.4932 0.5068 0.4919
Ni6 0.4932 0.9863 0.4919
Ni7 0.6804 0.8402 0.8252
Ni8 0.8265 0.1735 0.1586
Ni9 0.8265 0.6530 0.1586
P1 0.0000 0.0000 0.2623
P2 0.3333 0.6667 0.9290
P3 0.6667 0.3333 0.5957

---

# Pr2NiP3, relaxed, DFT PBE
# SG	Pmm2
# N(E_F)	3.58	states/eV/f.u.
# V	19.739	Å³/atom
# ΔE_f	-0.98	eV/atom
data_Pr2NiP3
_chemical_formula_sum 'Pr2 Ni1 P3'
_cell_length_a 4.0230
_cell_length_b 4.1150
_cell_length_c 7.1541
_cell_angle_alpha 90.00
_cell_angle_beta 90.00
_cell_angle_gamma 90.00
_space_group_name_H-M_alt 'P 1'
_space_group_IT_number 1
_space_group_name_Hall 'P 1'
loop_
_atom_site_label
_atom_site_fract_x
_atom_site_fract_y
_atom_site_fract_z
Pr1 0.0000 0.0000 0.0000
Pr2 0.5000 0.0000 0.4838
Ni1 0.0000 0.5000 0.6614
P1 0.0000 0.5000 0.3557
P2 0.5000 0.5000 0.1648
P3 0.5000 0.5000 0.7918

---

- Which value of ΔE_f does entry 8 give?
  -0.98 eV/atom

---

- What is the formula in the fifth record?
  PrNi2P

---

Copy entry 4 word for word.
# PrNiP2, relaxed, DFT PBE
# SG	I-4m2
# N(E_F)	2.16	states/eV/f.u.
# V	18.092	Å³/atom
# ΔE_f	-0.98	eV/atom
data_PrNiP2
_chemical_formula_sum 'Pr2 Ni2 P4'
_cell_length_a 3.9707
_cell_length_b 3.9707
_cell_length_c 9.1801
_cell_angle_alpha 90.00
_cell_angle_beta 90.00
_cell_angle_gamma 90.00
_space_group_name_H-M_alt 'P 1'
_space_group_IT_number 1
_space_group_name_Hall 'P 1'
loop_
_atom_site_label
_atom_site_fract_x
_atom_site_fract_y
_atom_site_fract_z
Pr1 0.0000 0.0000 0.0000
Pr2 0.5000 0.5000 0.5000
Ni1 0.0000 0.5000 0.7500
Ni2 0.5000 0.0000 0.2500
P1 0.0000 0.0000 0.3720
P2 0.0000 0.0000 0.6280
P3 0.5000 0.5000 0.1280
P4 0.5000 0.5000 0.8720